This record from Alexandria via LeMat-Bulk describes an optimized crystal structure of CeTmSn2. The functional is GGA-PBE.

Unit cell a=3.6637 b=3.6637 c=29.1920 alpha=90.00 beta=90.00 gamma=120.00
Space group R-3m (No. 166, hexagonal axes)
Unique sites:
Ce (0.0000, 0.0000, 0.0000) x3
Tm (0.0000, 0.0000, 0.5000) x3
Sn (0.0000, 0.0000, 0.2467) x6

Output
E_form   -0.425 eV/atom